The following is a DFT calculation (PBE-GGA) of an optimized crystal structure of DyPdRh4.

Structure (CIF):
```
data_DyPdRh4
_cell_length_a 5.221
_cell_length_b 5.221
_cell_length_c 5.221
_cell_angle_alpha 60.00
_cell_angle_beta 60.00
_cell_angle_gamma 60.00
_space_group_name_H-M_alt 'P 1'
_space_group_IT_number 1
loop_
_space_group_symop_operation_xyz
'x,y,z'
loop_
_atom_site_label
_atom_site_fract_x
_atom_site_fract_y
_atom_site_fract_z
Dy1 0.000 0.000 0.000
Pd1 0.750 0.750 0.750
Rh1 0.375 0.375 0.375
Rh2 0.375 0.375 0.874
Rh3 0.375 0.874 0.375
Rh4 0.874 0.375 0.375
```

DOS(E_F) in states/eV/f.u.: 12.3
Spin magnetization in μB/atom: 0.20
ΔH_f (0 K) in eV/atom: -0.296
Calculated density in g cm⁻³: 11.2
Space-group type: F-43m
Raw total energy in Ha/atom: -0.25097

The following is a DFT calculation (PBE-GGA) of an optimized crystal structure of SrLiSeBr2.

Structure (CIF):
```
data_SrLiSeBr2
_cell_length_a 5.946
_cell_length_b 5.946
_cell_length_c 6.027
_cell_angle_alpha 90.00
_cell_angle_beta 90.00
_cell_angle_gamma 90.00
_space_group_name_H-M_alt 'P 1'
_space_group_IT_number 1
loop_
_space_group_symop_operation_xyz
'x,y,z'
loop_
_atom_site_label
_atom_site_fract_x
_atom_site_fract_y
_atom_site_fract_z
Sr1 0.000 0.000 0.000
Li1 0.500 0.500 0.500
Se1 0.000 0.000 0.500
Br1 0.000 0.500 0.000
Br2 0.500 0.000 0.000
```

Formation energy (no corrections) in eV per atom: -1.030
DOS(E_F) in states/eV/f.u.: 5.8
Spin magnetization in μB/atom: 0.20
Calculated density in g cm⁻³: 2.6
Space-group type: P4/mmm
Raw total energy in Ha/atom: -0.11448
Offset from the most stable computed form in meV per atom: 228

The following is a DFT calculation (PBE-GGA) of an optimized crystal structure of Li2Zn4Rh.

Structure (CIF):
```
data_Li2Zn4Rh
_cell_length_a 7.010
_cell_length_b 7.010
_cell_length_c 5.746
_cell_angle_alpha 90.01
_cell_angle_beta 90.01
_cell_angle_gamma 50.28
_space_group_name_H-M_alt 'P 1'
_space_group_IT_number 1
loop_
_space_group_symop_operation_xyz
'x,y,z'
loop_
_atom_site_label
_atom_site_fract_x
_atom_site_fract_y
_atom_site_fract_z
Li1 0.000 0.000 0.000
Li2 0.000 0.000 0.499
Li3 0.234 0.234 0.999
Li4 0.493 0.493 0.002
Zn1 0.139 0.602 0.254
Zn2 0.141 0.602 0.745
Zn3 0.405 0.840 0.745
Zn4 0.406 0.841 0.255
Zn5 0.602 0.139 0.254
Zn6 0.602 0.141 0.745
Zn7 0.840 0.405 0.745
Zn8 0.841 0.406 0.255
Rh1 0.231 0.231 0.500
Rh2 0.762 0.762 0.501
```

DOS(E_F) in states/eV/f.u.: 1.8
Spin magnetization in μB/atom: 0.00
ΔH_f (0 K) in eV/atom: -0.188
Calculated density in g cm⁻³: 5.8
Space-group type: Cm
Raw total energy in Ha/atom: -0.09235
Offset from the most stable computed form in meV per atom: 29

The following is a DFT calculation (PBE-GGA) of an optimized crystal structure of CdReBr2.

Structure (CIF):
```
data_CdReBr2
_cell_length_a 7.138
_cell_length_b 7.138
_cell_length_c 7.138
_cell_angle_alpha 155.07
_cell_angle_beta 141.05
_cell_angle_gamma 46.80
_space_group_name_H-M_alt 'P 1'
_space_group_IT_number 1
loop_
_space_group_symop_operation_xyz
'x,y,z'
loop_
_atom_site_label
_atom_site_fract_x
_atom_site_fract_y
_atom_site_fract_z
Cd1 0.000 0.000 0.000
Re1 0.183 0.683 0.500
Br1 0.339 0.339 0.000
Br2 0.664 0.164 0.500
```

Formation energy (no corrections) in eV per atom: 0.620
DOS(E_F) in states/eV/f.u.: 2.8
Spin magnetization in μB/atom: 0.00
Calculated density in g cm⁻³: 7.9
Space-group type: Imm2
Raw total energy in Ha/atom: -0.13071
Offset from the most stable computed form in meV per atom: 365

The following is a DFT calculation (PBE-GGA) of an optimized crystal structure of Dy5ZnRu4.

Structure (CIF):
```
data_Dy5ZnRu4
_cell_length_a 3.416
_cell_length_b 3.416
_cell_length_c 17.402
_cell_angle_alpha 90.00
_cell_angle_beta 90.00
_cell_angle_gamma 90.00
_space_group_name_H-M_alt 'P 1'
_space_group_IT_number 1
loop_
_space_group_symop_operation_xyz
'x,y,z'
loop_
_atom_site_label
_atom_site_fract_x
_atom_site_fract_y
_atom_site_fract_z
Dy1 0.000 0.000 0.000
Dy2 0.000 0.000 0.194
Dy3 0.000 0.000 0.388
Dy4 0.000 0.000 0.612
Dy5 0.000 0.000 0.806
Zn1 0.500 0.500 0.500
Ru1 0.500 0.500 0.098
Ru2 0.500 0.500 0.296
Ru3 0.500 0.500 0.704
Ru4 0.500 0.500 0.902
```

DOS(E_F) in states/eV/f.u.: 6.2
Spin magnetization in μB/atom: 0.00
ΔH_f (0 K) in eV/atom: -0.366
Calculated density in g cm⁻³: 10.5
Space-group type: P4/mmm
Raw total energy in Ha/atom: -0.23903

The following is a DFT calculation (PBE-GGA) of an optimized crystal structure of AlCd2In.

Structure (CIF):
```
data_AlCd2In
_cell_length_a 5.547
_cell_length_b 5.547
_cell_length_c 5.547
_cell_angle_alpha 132.87
_cell_angle_beta 132.87
_cell_angle_gamma 68.86
_space_group_name_H-M_alt 'P 1'
_space_group_IT_number 1
loop_
_space_group_symop_operation_xyz
'x,y,z'
loop_
_atom_site_label
_atom_site_fract_x
_atom_site_fract_y
_atom_site_fract_z
Al1 0.000 0.000 0.000
Cd1 0.250 0.750 0.500
Cd2 0.750 0.250 0.500
In1 0.500 0.500 0.000
```

DOS(E_F) in states/eV/f.u.: 1.4
Spin magnetization in μB/atom: 0.00
ΔH_f (0 K) in eV/atom: 0.127
Calculated density in g cm⁻³: 6.8
Space-group type: I4/mmm
Raw total energy in Ha/atom: -0.07171
Offset from the most stable computed form in meV per atom: 49

The following is a DFT calculation (PBE-GGA) of an optimized crystal structure of ErSbH.

Structure (CIF):
```
data_ErSbH
_cell_length_a 3.947
_cell_length_b 3.947
_cell_length_c 7.037
_cell_angle_alpha 90.00
_cell_angle_beta 90.00
_cell_angle_gamma 90.00
_space_group_name_H-M_alt 'P 1'
_space_group_IT_number 1
loop_
_space_group_symop_operation_xyz
'x,y,z'
loop_
_atom_site_label
_atom_site_fract_x
_atom_site_fract_y
_atom_site_fract_z
Er1 0.250 0.250 0.165
Er2 0.750 0.750 0.835
Sb1 0.250 0.250 0.638
Sb2 0.750 0.750 0.362
H1 0.250 0.750 0.000
H2 0.750 0.250 0.000
```

DOS(E_F) in states/eV/f.u.: 1.2
Spin magnetization in μB/atom: 0.00
Calculated density in g cm⁻³: 8.8
Space-group type: P4/nmm
Raw total energy in Ha/atom: -0.17216
Offset from the most stable computed form in meV per atom: 45

The following is a DFT calculation (PBE-GGA) of an optimized crystal structure of ZrIrCl2.

Structure (CIF):
```
data_ZrIrCl2
_cell_length_a 3.033
_cell_length_b 4.381
_cell_length_c 5.350
_cell_angle_alpha 90.00
_cell_angle_beta 90.00
_cell_angle_gamma 90.00
_space_group_name_H-M_alt 'P 1'
_space_group_IT_number 1
loop_
_space_group_symop_operation_xyz
'x,y,z'
loop_
_atom_site_label
_atom_site_fract_x
_atom_site_fract_y
_atom_site_fract_z
Zr1 0.000 0.000 0.000
Ir1 0.500 0.000 0.500
Cl1 0.000 0.500 0.500
Cl2 0.500 0.500 0.000
```

Formation energy (no corrections) in eV per atom: -0.154
DOS(E_F) in states/eV/f.u.: 2.5
Spin magnetization in μB/atom: 0.00
Calculated density in g cm⁻³: 8.3
Space-group type: Pmmm
Raw total energy in Ha/atom: -0.19952
Offset from the most stable computed form in meV per atom: 653

- What is the formula in the sixth record?
  AlCd2In

- Among the records above, which one has the highest raw total energy?
  AlCd2In